1.
Compound: HfTaBe
Source: Alexandria
Functional: PBE
Structure: relaxed

Cell: 9.788 9.168 4.993 Å, 81.72 67.96 30.32°
Positions (direct):
Hf (0.045, 0.045, 0.205)
Hf (0.205, 0.205, 0.045)
Hf (0.795, 0.795, 0.955)
Hf (0.955, 0.955, 0.795)
Ta (0.200, 0.550, 0.200)
Ta (0.450, 0.800, 0.450)
Ta (0.550, 0.200, 0.550)
Ta (0.800, 0.450, 0.800)
Be (0.251, 0.251, 0.499)
Be (0.499, 0.499, 0.251)
Be (0.501, 0.501, 0.749)
Be (0.749, 0.749, 0.501)

Calculated values
Excess energy over the best structure of this formula in the dataset: 0.0 meV per atom
Formation enthalpy at 0 K: -0.06 eV per atom
Calculated density: 12.65 Mg/m³

***

2.
Compound: HfTa2Be9
Source: Alexandria
Functional: PBE
Structure: relaxed

Cell: 4.601 4.601 14.221 Å, 90.00 90.00 120.00°
Positions (direct):
Hf (0.333, 0.667, 0.250)
Hf (0.667, 0.333, 0.750)
Ta (0.333, 0.667, 0.037)
Ta (0.333, 0.667, 0.463)
Ta (0.667, 0.333, 0.537)
Ta (0.667, 0.333, 0.963)
Be (0.000, 0.000, 0.000)
Be (0.000, 0.000, 0.250)
Be (0.000, 0.000, 0.500)
Be (0.000, 0.000, 0.750)
Be (0.170, 0.339, 0.626)
Be (0.170, 0.339, 0.874)
Be (0.170, 0.830, 0.626)
Be (0.170, 0.830, 0.874)
Be (0.333, 0.667, 0.750)
Be (0.339, 0.170, 0.126)
Be (0.339, 0.170, 0.374)
Be (0.661, 0.830, 0.626)
Be (0.661, 0.830, 0.874)
Be (0.667, 0.333, 0.250)
Be (0.830, 0.170, 0.126)
Be (0.830, 0.170, 0.374)
Be (0.830, 0.661, 0.126)
Be (0.830, 0.661, 0.374)

Calculated values
Excess energy over the best structure of this formula in the dataset: 6.4 meV per atom
Formation enthalpy at 0 K: -0.24 eV per atom
Calculated density: 7.92 Mg/m³

***

3.
Compound: Hf3TaBe
Source: Alexandria
Functional: PBE
Structure: relaxed

Cell: 4.649 4.649 4.649 Å, 90.00 90.00 90.00°
Positions (direct):
Hf (0.000, 0.000, 0.500)
Hf (0.000, 0.500, 0.000)
Hf (0.500, 0.000, 0.000)
Ta (0.500, 0.500, 0.500)
Be (0.000, 0.000, 0.000)

Calculated values
Excess energy over the best structure of this formula in the dataset: 0.0 meV per atom
Formation enthalpy at 0 K: 0.57 eV per atom
Calculated density: 11.99 Mg/m³

***

4.
Compound: Hf3TaBe
Source: Alexandria
Functional: PBE
Structure: relaxed

Cell: 5.061 5.061 5.061 Å, 90.00 90.00 90.00°
Positions (direct):
Hf (0.000, 0.000, 0.500)
Hf (0.000, 0.500, 0.000)
Hf (0.500, 0.000, 0.000)
Ta (0.000, 0.000, 0.000)
Be (0.500, 0.500, 0.500)

Calculated values
Excess energy over the best structure of this formula in the dataset: 907.9 meV per atom
Formation enthalpy at 0 K: 1.48 eV per atom
Calculated density: 9.29 Mg/m³

***

5.
Compound: Hf2TaTiBe
Source: Alexandria
Functional: PBE
Structure: relaxed

Cell: 4.689 4.689 4.325 Å, 90.00 90.00 90.00°
Positions (direct):
Hf (0.000, 0.500, 0.000)
Hf (0.500, 0.000, 0.000)
Ta (0.000, 0.000, 0.500)
Ti (0.500, 0.500, 0.500)
Be (0.500, 0.500, 0.000)

Calculated values
Formation enthalpy at 0 K: 0.56 eV per atom
Calculated density: 10.39 Mg/m³

***

6.
Compound: Hf2TaBeV
Source: Alexandria
Functional: PBE
Structure: relaxed

Cell: 4.832 4.832 4.564 Å, 90.00 90.00 90.00°
Positions (direct):
Hf (0.000, 0.500, 0.000)
Hf (0.500, 0.000, 0.000)
Ta (0.000, 0.000, 0.500)
Be (0.500, 0.500, 0.500)
V (0.000, 0.000, 0.000)

Calculated values
Formation enthalpy at 0 K: 1.20 eV per atom
Calculated density: 9.32 Mg/m³

***

7.
Compound: TbHfBe
Source: Alexandria
Functional: PBE
Structure: relaxed

Cell: 3.229 3.229 11.804 Å, 90.00 90.00 90.00°
Positions (direct):
Tb (0.000, 0.000, 0.000)
Tb (0.500, 0.500, 0.500)
Hf (0.000, 0.000, 0.292)
Hf (0.500, 0.500, 0.792)
Be (0.000, 0.000, 0.668)
Be (0.500, 0.500, 0.168)

Calculated values
Formation enthalpy at 0 K: 0.12 eV per atom
Calculated density: 9.35 Mg/m³

***

8.
Compound: TbHf2Be
Source: Alexandria
Functional: PBE
Structure: relaxed

Cell: 3.180 3.180 30.313 Å, 90.00 90.00 120.00°
Positions (direct):
Tb (0.000, 0.000, 0.000)
Tb (0.333, 0.667, 0.667)
Tb (0.667, 0.333, 0.333)
Hf (0.000, 0.000, 0.107)
Hf (0.000, 0.000, 0.893)
Hf (0.333, 0.667, 0.559)
Hf (0.333, 0.667, 0.774)
Hf (0.667, 0.333, 0.226)
Hf (0.667, 0.333, 0.441)
Be (0.000, 0.000, 0.500)
Be (0.333, 0.667, 0.167)
Be (0.667, 0.333, 0.833)

Calculated values
Formation enthalpy at 0 K: 0.39 eV per atom
Calculated density: 9.85 Mg/m³

***

9.
Compound: Hf6BeTc5
Source: Alexandria
Functional: PBE
Structure: relaxed

Cell: 7.967 7.967 7.967 Å, 146.58 131.57 60.12°
Positions (direct):
Hf (0.080, 0.332, 0.748)
Hf (0.245, 0.000, 0.245)
Hf (0.416, 0.668, 0.748)
Hf (0.584, 0.332, 0.252)
Hf (0.755, 0.000, 0.755)
Hf (0.920, 0.668, 0.252)
Be (0.500, 0.500, 0.000)
Tc (0.000, 0.500, 0.500)
Tc (0.167, 0.167, 0.000)
Tc (0.338, 0.838, 0.500)
Tc (0.662, 0.162, 0.500)
Tc (0.833, 0.833, 0.000)

Calculated values
Formation enthalpy at 0 K: -0.43 eV per atom
Calculated density: 12.63 Mg/m³

***

10.
Compound: HfBeTc
Source: Alexandria
Functional: PBE
Structure: relaxed

Cell: 3.379 6.705 6.705 Å, 120.07 90.00 90.00°
Positions (direct):
Hf (0.000, 0.000, 0.000)
Hf (0.000, 0.223, 0.612)
Hf (0.000, 0.612, 0.223)
Be (0.000, 0.611, 0.611)
Be (0.500, 0.278, 0.945)
Be (0.500, 0.945, 0.278)
Tc (0.500, 0.349, 0.349)
Tc (0.500, 0.611, 0.874)
Tc (0.500, 0.874, 0.611)

Calculated values
Excess energy over the best structure of this formula in the dataset: 0.0 meV per atom
Formation enthalpy at 0 K: -0.33 eV per atom
Calculated density: 10.82 Mg/m³

***

11.
Compound: HfBe8Tc3
Source: Alexandria
Functional: PBE
Structure: relaxed

Cell: 4.443 4.443 7.351 Å, 90.00 90.00 120.00°
Positions (direct):
Hf (0.000, 0.000, 0.000)
Be (0.165, 0.331, 0.678)
Be (0.165, 0.835, 0.678)
Be (0.333, 0.667, 0.439)
Be (0.333, 0.667, 0.932)
Be (0.503, 0.005, 0.198)
Be (0.503, 0.497, 0.198)
Be (0.669, 0.835, 0.678)
Be (0.995, 0.497, 0.198)
Tc (0.000, 0.000, 0.378)
Tc (0.667, 0.333, 0.500)
Tc (0.667, 0.333, 0.859)

Calculated values
Formation enthalpy at 0 K: -0.38 eV per atom
Calculated density: 7.20 Mg/m³

***

12.
Compound: HfBeTc3
Source: Alexandria
Functional: PBE
Structure: relaxed

Cell: 4.734 4.734 4.734 Å, 90.00 90.00 90.00°
Positions (direct):
Hf (0.000, 0.000, 0.000)
Be (0.500, 0.500, 0.500)
Tc (0.000, 0.000, 0.500)
Tc (0.000, 0.500, 0.000)
Tc (0.500, 0.000, 0.000)

Calculated values
Excess energy over the best structure of this formula in the dataset: 1896.5 meV per atom
Formation enthalpy at 0 K: 2.15 eV per atom
Calculated density: 7.54 Mg/m³

***

13.
Compound: HfBeTc
Source: Alexandria
Functional: PBE
Structure: relaxed

Cell: 2.731 2.731 13.628 Å, 90.00 90.00 90.00°
Positions (direct):
Hf (0.000, 0.000, 0.000)
Hf (0.500, 0.500, 0.500)
Be (0.000, 0.000, 0.200)
Be (0.500, 0.500, 0.700)
Tc (0.000, 0.000, 0.810)
Tc (0.500, 0.500, 0.310)

Calculated values
Excess energy over the best structure of this formula in the dataset: 1133.7 meV per atom
Formation enthalpy at 0 K: 0.80 eV per atom
Calculated density: 9.33 Mg/m³

***

14.
Compound: Hf3BeTc2
Source: Alexandria
Functional: PBE
Structure: relaxed

Cell: 3.277 3.277 9.444 Å, 90.00 90.00 90.00°
Positions (direct):
Hf (0.000, 0.000, 0.000)
Hf (0.000, 0.000, 0.338)
Hf (0.000, 0.000, 0.662)
Be (0.500, 0.500, 0.500)
Tc (0.500, 0.500, 0.176)
Tc (0.500, 0.500, 0.824)

Calculated values
Formation enthalpy at 0 K: -0.37 eV per atom
Calculated density: 12.12 Mg/m³

***

15.
Compound: HfBe9Tc2
Source: Alexandria
Functional: PBE
Structure: relaxed

Cell: 4.416 4.416 14.039 Å, 90.00 90.00 120.00°
Positions (direct):
Hf (0.333, 0.667, 0.250)
Hf (0.667, 0.333, 0.750)
Be (0.000, 0.000, 0.000)
Be (0.000, 0.000, 0.250)
Be (0.000, 0.000, 0.500)
Be (0.000, 0.000, 0.750)
Be (0.169, 0.339, 0.622)
Be (0.169, 0.339, 0.878)
Be (0.169, 0.831, 0.622)
Be (0.169, 0.831, 0.878)
Be (0.333, 0.667, 0.750)
Be (0.339, 0.169, 0.122)
Be (0.339, 0.169, 0.378)
Be (0.661, 0.831, 0.622)
Be (0.661, 0.831, 0.878)
Be (0.667, 0.333, 0.250)
Be (0.831, 0.169, 0.122)
Be (0.831, 0.169, 0.378)
Be (0.831, 0.661, 0.122)
Be (0.831, 0.661, 0.378)
Tc (0.333, 0.667, 0.034)
Tc (0.333, 0.667, 0.466)
Tc (0.667, 0.333, 0.534)
Tc (0.667, 0.333, 0.966)

Calculated values
Excess energy over the best structure of this formula in the dataset: 0.0 meV per atom
Formation enthalpy at 0 K: -0.32 eV per atom
Calculated density: 6.38 Mg/m³

***

16.
Compound: HfBe5Tc
Source: Alexandria
Functional: PBE
Structure: relaxed

Cell: 7.413 4.417 9.155 Å, 90.00 90.00 90.00°
Positions (direct):
Hf (0.248, 0.250, 0.073)
Hf (0.252, 0.750, 0.573)
Hf (0.748, 0.250, 0.427)
Hf (0.752, 0.750, 0.927)
Be (0.049, 0.750, 0.120)
Be (0.073, 0.009, 0.317)
Be (0.073, 0.491, 0.317)
Be (0.080, 0.250, 0.517)
Be (0.185, 0.250, 0.752)
Be (0.315, 0.750, 0.252)
Be (0.420, 0.750, 0.017)
Be (0.427, 0.509, 0.817)
Be (0.427, 0.991, 0.817)
Be (0.451, 0.250, 0.620)
Be (0.549, 0.750, 0.380)
Be (0.573, 0.009, 0.183)
Be (0.573, 0.491, 0.183)
Be (0.580, 0.250, 0.983)
Be (0.685, 0.250, 0.748)
Be (0.815, 0.750, 0.248)
Be (0.920, 0.750, 0.483)
Be (0.927, 0.509, 0.683)
Be (0.927, 0.991, 0.683)
Be (0.951, 0.250, 0.880)
Tc (0.121, 0.750, 0.881)
Tc (0.379, 0.250, 0.381)
Tc (0.621, 0.750, 0.619)
Tc (0.879, 0.250, 0.119)

Calculated values
Formation enthalpy at 0 K: -0.29 eV per atom
Calculated density: 7.12 Mg/m³

***

17.
Compound: HfBeTc
Source: Alexandria
Functional: PBE
Structure: relaxed

Cell: 4.993 5.102 7.018 Å, 90.00 90.00 90.00°
Positions (direct):
Hf (0.000, 0.250, 0.127)
Hf (0.000, 0.750, 0.873)
Hf (0.500, 0.250, 0.373)
Hf (0.500, 0.750, 0.627)
Be (0.250, 0.250, 0.750)
Be (0.250, 0.750, 0.250)
Be (0.750, 0.250, 0.750)
Be (0.750, 0.750, 0.250)
Tc (0.000, 0.000, 0.500)
Tc (0.000, 0.500, 0.500)
Tc (0.500, 0.000, 0.000)
Tc (0.500, 0.500, 0.000)

Calculated values
Excess energy over the best structure of this formula in the dataset: 7.3 meV per atom
Formation enthalpy at 0 K: -0.32 eV per atom
Calculated density: 10.61 Mg/m³

***

18.
Compound: HfBe9Tc2
Source: Alexandria
Functional: PBE
Structure: relaxed

Cell: 7.451 7.451 7.451 Å, 34.53 34.53 34.53°
Positions (direct):
Hf (0.000, 0.000, 0.000)
Be (0.081, 0.587, 0.587)
Be (0.333, 0.333, 0.333)
Be (0.413, 0.413, 0.919)
Be (0.413, 0.919, 0.413)
Be (0.500, 0.500, 0.500)
Be (0.587, 0.081, 0.587)
Be (0.587, 0.587, 0.081)
Be (0.667, 0.667, 0.667)
Be (0.919, 0.413, 0.413)
Tc (0.144, 0.144, 0.144)
Tc (0.856, 0.856, 0.856)

Calculated values
Excess energy over the best structure of this formula in the dataset: 5.3 meV per atom
Formation enthalpy at 0 K: -0.32 eV per atom
Calculated density: 6.38 Mg/m³

***

19.
Compound: Hf4BeTc3
Source: Alexandria
Functional: PBE
Structure: relaxed

Cell: 3.276 3.276 12.697 Å, 90.00 90.00 90.00°
Positions (direct):
Hf (0.000, 0.000, 0.121)
Hf (0.000, 0.000, 0.372)
Hf (0.000, 0.000, 0.628)
Hf (0.000, 0.000, 0.879)
Be (0.500, 0.500, 0.000)
Tc (0.500, 0.500, 0.240)
Tc (0.500, 0.500, 0.500)
Tc (0.500, 0.500, 0.760)

Calculated values
Formation enthalpy at 0 K: -0.40 eV per atom
Calculated density: 12.39 Mg/m³

***

20.
Compound: HfBe3Tc
Source: Alexandria
Functional: PBE
Structure: relaxed

Cell: 4.117 4.117 4.117 Å, 90.00 90.00 90.00°
Positions (direct):
Hf (0.000, 0.000, 0.000)
Be (0.000, 0.500, 0.500)
Be (0.500, 0.000, 0.500)
Be (0.500, 0.500, 0.000)
Tc (0.500, 0.500, 0.500)

Calculated values
Excess energy over the best structure of this formula in the dataset: 0.0 meV per atom
Formation enthalpy at 0 K: 0.34 eV per atom
Calculated density: 7.23 Mg/m³